A geometry-optimized CsCaPmF6 structure, computed with PBE-GGA.

Unit cell a=8.4798 b=8.4798 c=8.4798 alpha=121.45 beta=119.09 gamma=89.54
Closest atoms and distances in Å follow each position.
Sites, in units of the cell vectors:
Cs 0.3056 0.0556 0.2500  1 F 2.89
Cs 0.6944 0.9444 0.7500  1 F 2.89
Ca 0.0000 0.0000 0.5000  6 F 2.22-2.29
Ca 0.0000 0.5000 0.0000  6 F 2.22-2.29
Pm 0.0000 0.5000 0.5000  6 F 2.26-2.30
Pm 0.5000 0.5000 0.0000  6 F 2.26-2.30
F 0.0511 0.4148 0.2326  1 Pm 2.26, 1 Ca 2.29
F 0.0511 0.8185 0.6363  1 Pm 2.26, 1 Ca 2.29
F 0.0658 0.8158 0.2500  2 Ca 2.22
F 0.3172 0.5672 0.7500  2 Pm 2.30
F 0.3178 0.1815 0.7326  1 Pm 2.26, 1 Ca 2.29
F 0.3178 0.5852 0.1363  1 Pm 2.26, 1 Ca 2.29
F 0.6822 0.4148 0.8637  1 Pm 2.26, 1 Ca 2.29
F 0.6822 0.8185 0.2674  1 Pm 2.26, 1 Ca 2.29
F 0.6828 0.4328 0.2500  2 Pm 2.30
F 0.9342 0.1842 0.7500  2 Ca 2.22
F 0.9489 0.1815 0.3637  1 Pm 2.26, 1 Ca 2.29
F 0.9489 0.5852 0.7674  1 Pm 2.26, 1 Ca 2.29

Values from the calculation:
SG: Imma, No. 74
M_tot (μB per atom): 0.012
ΔE_f (raw) (kJ/mol of atoms): -358
DFT total energy (eV/cell): -104.39

A geometry-optimized Ca2TeW structure, computed with PBE-GGA.

Unit cell a=4.6085 b=6.2075 c=6.2075 alpha=37.88 beta=90.00 gamma=90.00
Closest atoms and distances in Å follow each position.
Sites, in units of the cell vectors:
Ca 0.0000 0.0000 0.0000  4 Te 3.24, 3 W 3.26-3.31
Ca 0.5000 0.3040 0.3040  3 Te 3.21-3.37, 4 W 3.22
Te 0.5000 0.5908 0.5908  2 W 2.74
W 0.0000 0.7177 0.7177  2 Te 2.74

Values from the calculation:
SG: Amm2, No. 38
M_tot (μB per atom): 0.393
ΔE_f (raw) (kJ/mol of atoms): 24
DFT total energy (eV/cell): -19.11

A geometry-optimized Cs5PtIO2 structure, computed with PBE-GGA.

Unit cell a=5.9999 b=5.9999 c=9.8742 alpha=90.00 beta=90.00 gamma=90.00
Closest atoms and distances in Å follow each position.
Sites, in units of the cell vectors:
Cs 0.0000 0.0000 0.0000  2 O 2.87
Cs 0.0000 0.5000 0.2965  2 O 3.00
Cs 0.0000 0.5000 0.7035  2 O 3.00
Cs 0.5000 0.0000 0.2965  2 O 3.00
Cs 0.5000 0.0000 0.7035  2 O 3.00
Pt 0.0000 0.0000 0.5000  2 O 2.07
I 0.5000 0.5000 0.0000  12 Cs 4.19-4.24
O 0.0000 0.0000 0.2904  1 Pt 2.07
O 0.0000 0.0000 0.7096  1 Pt 2.07

Values from the calculation:
SG: P4/mmm, No. 123
M_tot (μB per atom): 0.028
ΔE_f (raw) (kJ/mol of atoms): -95
DFT total energy (eV/cell): -30.60

A geometry-optimized Ce6Al3Se14 structure, computed with PBE-GGA.

Unit cell a=10.4613 b=10.4613 c=6.2491 alpha=90.00 beta=90.00 gamma=120.00
Closest atoms and distances in Å follow each position.
Sites, in units of the cell vectors:
Ce 0.0360 0.5613 0.0000  7 Se 2.97-3.15
Ce 0.2983 0.1084 0.5061  7 Se 2.94-3.25
Ce 0.4387 0.4747 0.0000  7 Se 2.97-3.15
Ce 0.5253 0.9640 0.0000  7 Se 2.97-3.15
Ce 0.8101 0.7017 0.5061  7 Se 2.94-3.25
Ce 0.8916 0.1899 0.5061  7 Se 2.94-3.25
Al 0.0000 0.0000 0.9156  4 Se 2.37-2.40
Al 0.3333 0.6667 0.4169  4 Se 2.36-2.40
Al 0.6667 0.3333 0.7930  6 Se 2.62
Se 0.0000 0.0000 0.2942  1 Al 2.37
Se 0.0938 0.8517 0.7657  1 Al 2.40
Se 0.1483 0.2422 0.7657  1 Al 2.40
Se 0.1818 0.4245 0.2687  1 Al 2.40
Se 0.2427 0.8182 0.2687  1 Al 2.40
Se 0.3333 0.6667 0.7953  1 Al 2.36
Se 0.4251 0.1846 0.0197  1 Al 2.62
Se 0.5244 0.4285 0.5569  1 Al 2.62
Se 0.5715 0.0959 0.5569  1 Al 2.62
Se 0.5755 0.7573 0.2687  1 Al 2.40
Se 0.7578 0.9062 0.7657  1 Al 2.40
Se 0.7596 0.5749 0.0197  1 Al 2.62
Se 0.8154 0.2404 0.0197  1 Al 2.62
Se 0.9041 0.4756 0.5569  1 Al 2.62

Values from the calculation:
SG: P3, No. 143
M_tot (μB per atom): 0.218
ΔE_f (raw) (kJ/mol of atoms): -145
DFT total energy (eV/cell): -130.13

A geometry-optimized Pu2Sc3PaSe6 structure, computed with PBE-GGA.

Unit cell a=9.0043 b=9.0043 c=8.1121 alpha=105.22 beta=105.22 gamma=25.20
Closest atoms and distances in Å follow each position.
Sites, in units of the cell vectors:
Pu 0.1641 0.1641 0.3276  6 Se 2.90-2.92
Pu 0.8359 0.8359 0.6724  6 Se 2.90-2.92
Sc 0.1681 0.1681 0.8324  6 Se 2.73-2.75
Sc 0.5000 0.5000 0.5000  6 Se 2.74-2.77
Sc 0.8319 0.8319 0.1676  6 Se 2.73-2.75
Pa 0.5000 0.5000 0.0000  6 Se 2.90-2.92
Se 0.0065 0.0065 0.7384  3 Sc 2.74, 1 Pu 2.90, 2 Pa 2.92
Se 0.3291 0.3291 0.9308  3 Sc 2.73-2.74, 2 Pu 2.90, 1 Pa 2.90
Se 0.3365 0.3365 0.4073  3 Sc 2.75-2.77, 3 Pu 2.91-2.92
Se 0.6635 0.6635 0.5927  3 Sc 2.75-2.77, 3 Pu 2.91-2.92
Se 0.6709 0.6709 0.0692  3 Sc 2.73-2.74, 2 Pu 2.90, 1 Pa 2.90
Se 0.9935 0.9935 0.2616  3 Sc 2.74, 1 Pu 2.90, 2 Pa 2.92

Values from the calculation:
SG: C2/m, No. 12
M_tot (μB per atom): 1.065
ΔE_f (raw) (kJ/mol of atoms): -146
DFT total energy (eV/cell): -96.17

A geometry-optimized Ce4Ru3 structure, computed with PBE-GGA.

Unit cell a=11.9078 b=11.9078 c=11.9078 alpha=163.20 beta=163.20 gamma=23.85
Closest atoms and distances in Å follow each position.
Sites, in units of the cell vectors:
Ce 0.0727 0.0727 0.0000  5 Ru 2.99-3.26, 4 Ce 3.16
Ce 0.3420 0.3420 0.0000  5 Ru 2.77-3.01
Ce 0.6580 0.6580 0.0000  5 Ru 2.77-3.01
Ce 0.9273 0.9273 0.0000  5 Ru 2.99-3.26, 4 Ce 3.16
Ru 0.2128 0.2128 0.0000  5 Ce 2.77-3.01, 4 Ru 3.01
Ru 0.5000 0.5000 0.0000  8 Ce 2.99
Ru 0.7872 0.7872 0.0000  5 Ce 2.77-3.01, 4 Ru 3.01

Values from the calculation:
SG: I4/mmm, No. 139
M_tot (μB per atom): 0.000
DFT total energy (eV/cell): -52.76
E_form (eV per atom): -0.171

A geometry-optimized LiPr6Tl5 structure, computed with PBE-GGA.

Unit cell a=8.8179 b=8.8179 c=7.7892 alpha=90.00 beta=90.00 gamma=143.28
Closest atoms and distances in Å follow each position.
Sites, in units of the cell vectors:
Li 0.0000 0.0000 0.0000  8 Pr 3.41
Pr 0.1683 0.8317 0.2467  7 Tl 3.38-3.50, 1 Li 3.41
Pr 0.1683 0.8317 0.7533  7 Tl 3.38-3.50, 1 Li 3.41
Pr 0.5000 0.5000 0.2530  6 Tl 3.29-3.38, 2 Li 3.41
Pr 0.5000 0.5000 0.7470  6 Tl 3.29-3.38, 2 Li 3.41
Pr 0.8317 0.1683 0.2467  7 Tl 3.38-3.50, 1 Li 3.41
Pr 0.8317 0.1683 0.7533  7 Tl 3.38-3.50, 1 Li 3.41
Tl 0.0000 0.0000 0.5000  8 Pr 3.38-3.44
Tl 0.3341 0.6659 0.5000  8 Pr 3.38-3.41
Tl 0.3430 0.6570 0.0000  8 Pr 3.29-3.50
Tl 0.6570 0.3430 0.0000  8 Pr 3.29-3.50
Tl 0.6659 0.3341 0.5000  8 Pr 3.38-3.41

Values from the calculation:
SG: Cmmm, No. 65
M_tot (μB per atom): 0.000
DFT total energy (eV/cell): -46.44
E_form (eV per atom): -0.335

A geometry-optimized In2As2Cl2O5 structure, computed with PBE-GGA.

Unit cell a=6.8447 b=7.6480 c=9.4324 alpha=108.67 beta=101.68 gamma=102.40
Closest atoms and distances in Å follow each position.
Sites, in units of the cell vectors:
In 0.1013 0.3083 0.4776  5 O 2.14-2.27
In 0.3655 0.7773 0.3459  4 O 2.17-2.26
In 0.6345 0.2227 0.6541  4 O 2.17-2.26
In 0.8987 0.6917 0.5224  5 O 2.14-2.27
As 0.1790 0.2243 0.7823  3 O 1.81-1.89
As 0.3682 0.8445 0.7413  3 O 1.79-1.94
As 0.6318 0.1555 0.2587  3 O 1.79-1.94
As 0.8210 0.7757 0.2177  3 O 1.81-1.89
Cl 0.2749 0.3933 0.2881  2 In 2.51-2.71
Cl 0.2987 0.7193 0.0658  1 In 2.46
Cl 0.7013 0.2807 0.9342  1 In 2.46
Cl 0.7251 0.6067 0.7119  2 In 2.51-2.71
O 0.0528 0.7854 0.3555  1 As 1.81
O 0.1399 0.9553 0.7175  2 As 1.89-1.94
O 0.1780 0.6197 0.6104  1 As 1.79
O 0.3248 0.2667 0.6479  1 As 1.83
O 0.4818 0.9066 0.6000  1 As 1.81
O 0.5182 0.0934 0.4000  1 As 1.81
O 0.6752 0.7333 0.3521  1 As 1.83
O 0.8220 0.3803 0.3896  1 As 1.79
O 0.8601 0.0447 0.2825  2 As 1.89-1.94
O 0.9472 0.2146 0.6445  1 As 1.81

Values from the calculation:
SG: P-1, No. 2
M_tot (μB per atom): 0.000
ΔE_f (raw) (kJ/mol of atoms): -128
DFT total energy (eV/cell): -115.71

Question: Which value of M_tot does entry 6 give?
Answer: 0.000 μB per atom

Question: What is the DFT total energy in the seventh record?
Answer: -46.44 eV/cell

Question: The highest M_tot belongs to which entry?
Answer: Pu2Sc3PaSe6